# 1
A plane-wave DFT calculation with PBE was carried out for a relaxed structure of Li3Ga4Si2.

Structure (CIF):
```
data_Li3Ga4Si2
_chemical_formula_sum 'Li6 Ga8 Si4'
_symmetry_space_group_name_H-M 'C 1 2/m 1'
_symmetry_Int_Tables_number 12
_symmetry_space_group_name_Hall '-C 2y'
_cell_length_a 9.648
_cell_length_b 4.300
_cell_length_c 8.231
_cell_angle_alpha 90.00
_cell_angle_beta 118.40
_cell_angle_gamma 90.00
loop_
_atom_site_label
_atom_site_type_symbol
_atom_site_fract_x
_atom_site_fract_y
_atom_site_fract_z
Li1 Li 0.000 0.000 0.000
Li2 Li 0.164 0.500 0.681
Ga1 Ga 0.100 0.000 0.434
Ga2 Ga 0.184 0.500 0.016
Si1 Si 0.109 0.500 0.271
```

# 2
A plane-wave DFT calculation with PBE was carried out for a relaxed structure of Li3GaSi.

## Properties
Offset from the most stable computed form   37.5 kJ/mol of atoms

Structure (CIF):
```
data_Li3GaSi
_chemical_formula_sum 'Li3 Ga1 Si1'
_symmetry_space_group_name_H-M 'P m -3 m'
_symmetry_Int_Tables_number 221
_symmetry_space_group_name_Hall '-P 4 2 3'
_cell_length_a 4.786
_cell_length_b 4.786
_cell_length_c 4.786
_cell_angle_alpha 90.00
_cell_angle_beta 90.00
_cell_angle_gamma 90.00
loop_
_atom_site_label
_atom_site_type_symbol
_atom_site_fract_x
_atom_site_fract_y
_atom_site_fract_z
Li1 Li 0.000 0.000 0.500
Ga1 Ga 0.500 0.500 0.500
Si1 Si 0.000 0.000 0.000
```

# 3
A plane-wave DFT calculation with PBE was carried out for a relaxed structure of Li3GaSi.

## Properties
Offset from the most stable computed form   63.9 kJ/mol of atoms

Structure (CIF):
```
data_Li3GaSi
_chemical_formula_sum 'Li3 Ga1 Si1'
_symmetry_space_group_name_H-M 'P m -3 m'
_symmetry_Int_Tables_number 221
_symmetry_space_group_name_Hall '-P 4 2 3'
_cell_length_a 4.668
_cell_length_b 4.668
_cell_length_c 4.668
_cell_angle_alpha 90.00
_cell_angle_beta 90.00
_cell_angle_gamma 90.00
loop_
_atom_site_label
_atom_site_type_symbol
_atom_site_fract_x
_atom_site_fract_y
_atom_site_fract_z
Li1 Li 0.000 0.000 0.500
Ga1 Ga 0.000 0.000 0.000
Si1 Si 0.500 0.500 0.500
```

# 4
A plane-wave DFT calculation with PBE was carried out for a relaxed structure of Li3GaSi.

## Properties
Offset from the most stable computed form   20.8 kJ/mol of atoms

Structure (CIF):
```
data_Li3GaSi
_chemical_formula_sum 'Li12 Ga4 Si4'
_symmetry_space_group_name_H-M 'I m a 2'
_symmetry_Int_Tables_number 46
_symmetry_space_group_name_Hall 'I 2 -2a'
_cell_length_a 9.522
_cell_length_b 6.765
_cell_length_c 5.541
_cell_angle_alpha 90.00
_cell_angle_beta 90.00
_cell_angle_gamma 90.00
loop_
_atom_site_label
_atom_site_type_symbol
_atom_site_fract_x
_atom_site_fract_y
_atom_site_fract_z
Li1 Li 0.029 0.246 0.000
Li2 Li 0.250 0.069 0.254
Ga1 Ga 0.250 0.750 0.005
Si1 Si 0.250 0.065 0.753
```

# 5
A plane-wave DFT calculation with PBE was carried out for a relaxed structure of Li3GaSi.

## Properties
Offset from the most stable computed form   0.0 kJ/mol of atoms

Structure (CIF):
```
data_Li3GaSi
_chemical_formula_sum 'Li6 Ga2 Si2'
_symmetry_space_group_name_H-M 'P -1'
_symmetry_Int_Tables_number 2
_symmetry_space_group_name_Hall '-P 1'
_cell_length_a 4.659
_cell_length_b 5.079
_cell_length_c 6.784
_cell_angle_alpha 104.66
_cell_angle_beta 98.37
_cell_angle_gamma 92.11
loop_
_atom_site_label
_atom_site_type_symbol
_atom_site_fract_x
_atom_site_fract_y
_atom_site_fract_z
Li1 Li 0.190 0.254 0.274
Li2 Li 0.288 0.454 0.695
Li3 Li 0.289 0.066 0.874
Ga1 Ga 0.255 0.830 0.468
Si1 Si 0.194 0.671 0.077
```

# 6
A plane-wave DFT calculation with PBE was carried out for a relaxed structure of Li6GaSi2.

Structure (CIF):
```
data_Li6GaSi2
_chemical_formula_sum 'Li18 Ga3 Si6'
_symmetry_space_group_name_H-M 'R -3 m'
_symmetry_Int_Tables_number 166
_symmetry_space_group_name_Hall '-R 3 2"'
_cell_length_a 7.5656
_cell_length_b 7.5656
_cell_length_c 7.8049
_cell_angle_alpha 90.00
_cell_angle_beta 90.00
_cell_angle_gamma 120.00
loop_
_atom_site_label
_atom_site_type_symbol
_atom_site_fract_x
_atom_site_fract_y
_atom_site_fract_z
Li1 Li 0.0000 0.3319 0.0000
Ga1 Ga 0.0000 0.0000 0.5000
Si1 Si 0.0000 0.0000 0.1666
```

For each record above, in turn, the calculated energy values are -3.362; -2.678; -2.405; -2.851; -3.067; -3.053 eV per atom.
For each record above, in turn, the calculated size of the total moment values are 0.0; 0.0; 0.0; 0.0; 0.0; 0.0 μB per formula unit.